# NbS4

NbS4 after structural relaxation (PBE, Alexandria).

## Properties
Total moment, μB per cell: 2.9
Crystal system: cubic
E_form (uncorrected), meV per atom: 252

The structure in POSCAR format:
```
NbS4
1.0
4.8307 0.0000 0.0000
0.0000 4.8307 0.0000
0.0000 0.0000 4.8307
Nb S
1 4
Cartesian
0.0000 0.0000 0.0000
0.0000 0.0000 2.4153
0.0000 2.4153 0.0000
2.4153 0.0000 0.0000
2.4153 2.4153 2.4153
```

# NbS

NbS after structural relaxation (PBE, Alexandria).

## Properties
Total moment, μB per cell: 0.0
Crystal system: hexagonal
E_form (uncorrected), meV per atom: -605

The structure in POSCAR format:
```
NbS
1.0
3.1906 0.0000 0.0000
-1.5953 2.7631 0.0000
0.0000 0.0000 8.2562
Nb S
2 2
Cartesian
0.0000 1.8421 0.0000
1.5953 0.9210 4.1281
0.0000 1.8421 5.7477
1.5953 0.9210 1.6195
```

# NbS

NbS after structural relaxation (PBE, Alexandria).

## Properties
Total moment, μB per cell: 0.0
Crystal system: orthorhombic
E_form (uncorrected), meV per atom: -630

The structure in POSCAR format:
```
NbS
1.0
1.6021 -8.2337 0.0000
1.6021 8.2337 0.0000
0.0000 0.0000 3.1173
Nb S
2 2
Cartesian
1.6021 6.9847 2.3379
1.6021 -6.9847 0.7793
1.6021 2.4008 2.3379
1.6021 -2.4008 0.7793
```

> Number 2 is which compound?

NbS

> total moment of number 1 (NbS4)?

2.9 μB per cell

> total moment of number 1 (NbS4)?

2.9 μB per cell

> What is the formula in the third record?

NbS